A geometry-optimized Fe2Tc2Au structure, computed with PBE-GGA.

Summary:
The symmetry is P4/mbm (127). The value obtained for the total energy is -79.90 eV per cell. The crystal system is tetragonal. The formation energy comes out at 197 meV per atom. The total magnetization is 0.00 μB/atom.

Cell: 7.158 7.158 2.674 Å, 90.00 90.00 90.00°
Fractional positions:
Fe: 0.123 0.377 0.000
Fe: 0.377 0.877 0.000
Fe: 0.623 0.123 0.000
Fe: 0.877 0.623 0.000
Tc: 0.167 0.667 0.500
Tc: 0.333 0.167 0.500
Tc: 0.667 0.833 0.500
Tc: 0.833 0.333 0.500
Au: 0.000 0.000 0.000
Au: 0.500 0.500 0.000

=====

A geometry-optimized CaZrPtRh structure, computed with PBE-GGA.

Summary:
The symmetry is F-43m (216). The value obtained for the total energy is -107.18 eV per cell. The crystal system is cubic. The formation energy comes out at -714 meV per atom. The total magnetization is 0.00 μB/atom.

Cell: 6.740 6.740 6.740 Å, 90.00 90.00 90.00°
Fractional positions:
Ca: 0.000 0.000 0.000
Ca: 0.000 0.500 0.500
Ca: 0.500 0.000 0.500
Ca: 0.500 0.500 0.000
Zr: 0.000 0.000 0.500
Zr: 0.000 0.500 0.000
Zr: 0.500 0.000 0.000
Zr: 0.500 0.500 0.500
Pt: 0.250 0.250 0.750
Pt: 0.250 0.750 0.250
Pt: 0.750 0.250 0.250
Pt: 0.750 0.750 0.750
Rh: 0.250 0.250 0.250
Rh: 0.250 0.750 0.750
Rh: 0.750 0.250 0.750
Rh: 0.750 0.750 0.250